Entry 1:
A plane-wave DFT calculation with PBE-GGA was carried out for an optimized crystal structure of TmHfHgAu.

a = 4.986 Å, b = 4.986 Å, c = 4.986 Å
α = 60.00°, β = 60.00°, γ = 60.00°
Atoms (fractional coordinates):
1 Tm 0.000 0.000 0.000
2 Hf 0.500 0.500 0.500
3 Hg 0.750 0.750 0.750
4 Au 0.250 0.250 0.250

Output
As for the crystal system: cubic.


Entry 2:
A plane-wave DFT calculation with PBE-GGA was carried out for an optimized crystal structure of HfZrHgAu.

a = 3.540 Å, b = 3.540 Å, c = 6.632 Å
α = 90.00°, β = 90.00°, γ = 90.00°
Atoms (fractional coordinates):
1 Hf 0.000 0.000 0.000
2 Zr 0.500 0.500 0.717
3 Hg 0.000 0.000 0.470
4 Au 0.500 0.500 0.219

Output
As for the crystal system: tetragonal.


Entry 3:
A plane-wave DFT calculation with PBE-GGA was carried out for an optimized crystal structure of HoHfAu.

a = 6.457 Å, b = 6.457 Å, c = 6.457 Å
α = 149.58°, β = 149.58°, γ = 43.55°
Atoms (fractional coordinates):
1 Ho 0.000 0.000 0.000
2 Hf 0.686 0.686 0.000
3 Au 0.321 0.321 0.000

Output
As for the crystal system: tetragonal.


Energy of formation values, unit eV per atom, following the record order: -0.37, -0.32, -0.39.